# 1
The following is a DFT calculation (PBE) of crystalline Mg2PClO4 at its relaxed geometry.

Raw formation energy, eV per atom: -2.475
Mass density, g/cm3: 2.75

Cell lengths 11.079, 8.010, 4.868 Å; angles 90.00, 90.00, 90.00 degrees
Sites, in units of the cell vectors:
Mg: 0.122 0.099 0.000
Mg: 0.128 0.664 0.994
Mg: 0.372 0.164 0.494
Mg: 0.378 0.599 0.500
Mg: 0.622 0.401 0.000
Mg: 0.628 0.836 0.994
Mg: 0.872 0.336 0.494
Mg: 0.878 0.901 0.500
P: 0.166 0.880 0.547
P: 0.334 0.380 0.047
P: 0.666 0.620 0.547
P: 0.834 0.120 0.047
Cl: 0.061 0.379 0.747
Cl: 0.439 0.879 0.247
Cl: 0.561 0.121 0.747
Cl: 0.939 0.621 0.247
O: 0.042 0.877 0.702
O: 0.152 0.881 0.231
O: 0.229 0.040 0.652
O: 0.232 0.722 0.652
O: 0.268 0.222 0.152
O: 0.271 0.540 0.152
O: 0.348 0.381 0.731
O: 0.458 0.377 0.202
O: 0.542 0.623 0.702
O: 0.652 0.619 0.231
O: 0.729 0.460 0.652
O: 0.732 0.778 0.652
O: 0.768 0.278 0.152
O: 0.771 0.960 0.152
O: 0.848 0.119 0.731
O: 0.958 0.123 0.202



# 2
The following is a DFT calculation (PBE) of crystalline MgPCl2O at its relaxed geometry.

Raw formation energy, eV per atom: 0.333
Mass density, g/cm3: 1.66

Cell lengths 4.604, 4.604, 6.708 Å; angles 90.00, 90.00, 90.00 degrees
Sites, in units of the cell vectors:
Mg: 0.000 0.000 0.000
P: 0.000 0.000 0.500
Cl: 0.000 0.500 0.000
Cl: 0.500 0.000 0.000
O: 0.500 0.500 0.500



# 3
The following is a DFT calculation (PBE) of crystalline RbMg2ClO at its relaxed geometry.

Raw formation energy, eV per atom: 0.606
Mass density, g/cm3: 0.88

Cell lengths 7.716, 7.716, 5.884 Å; angles 90.00, 90.00, 90.00 degrees
Sites, in units of the cell vectors:
Rb: 0.000 0.000 0.000
Mg: 0.000 0.500 0.000
Mg: 0.500 0.000 0.000
Cl: 0.000 0.000 0.500
O: 0.500 0.500 0.500